# 1
{
  "formula": "ZrIr2Os2",
  "functional": "PBE-GGA",
  "state": "optimized geometry",
  "lattice": [[7.604, 0.000, 0.000], [0.000, 7.604, 0.000], [0.000, 0.000, 2.791]],
  "species": ["Zr", "Zr", "Ir", "Ir", "Ir", "Ir", "Os", "Os", "Os", "Os"],
  "frac_coords": [[0.000, 0.000, 0.000], [0.500, 0.500, 0.000], [0.176, 0.324, 0.500], [0.324, 0.824, 0.500], [0.676, 0.176, 0.500], [0.824, 0.676, 0.500], [0.122, 0.622, 0.000], [0.378, 0.122, 0.000], [0.622, 0.878, 0.000], [0.878, 0.378, 0.000]],
  "density_g_cm3": 17.62,
  "space_group": "P4/mbm (127)",
  "e_above_lowest_polymorph_ev_per_atom": 0.0000,
  "formation_energy_kj_per_mol_atoms": -11.59
}

=====

# 2
{
  "formula": "ZrIrOs",
  "functional": "PBE-GGA",
  "state": "optimized geometry",
  "lattice": [[-1.665, 1.665, 4.600], [1.665, -1.665, 4.600], [1.665, 1.665, -4.600]],
  "species": ["Zr", "Ir", "Os"],
  "frac_coords": [[0.000, 0.000, 0.000], [0.340, 0.340, 0.000], [0.660, 0.660, 0.000]],
  "density_g_cm3": 15.42,
  "space_group": "I4mm (107)",
  "e_above_lowest_polymorph_ev_per_atom": 0.2910,
  "formation_energy_kj_per_mol_atoms": 0.42
}

=====

# 3
{
  "formula": "Zr2IrOs",
  "functional": "PBE-GGA",
  "state": "optimized geometry",
  "lattice": [[3.285, 0.000, 0.000], [0.000, 3.285, 0.000], [0.000, 0.000, 6.647]],
  "species": ["Zr", "Zr", "Ir", "Os"],
  "frac_coords": [[0.000, 0.000, 0.250], [0.000, 0.000, 0.750], [0.500, 0.500, 0.000], [0.500, 0.500, 0.500]],
  "density_g_cm3": 13.08,
  "space_group": "P4/mmm (123)",
  "e_above_lowest_polymorph_ev_per_atom": 0.0000,
  "formation_energy_kj_per_mol_atoms": -61.91
}

=====

# 4
{
  "formula": "Zr2IrOs2",
  "functional": "PBE-GGA",
  "state": "optimized geometry",
  "lattice": [[6.653, 0.000, 0.000], [0.000, 6.653, 0.000], [0.000, 0.000, 4.146]],
  "species": ["Zr", "Zr", "Zr", "Zr", "Ir", "Ir", "Os", "Os", "Os", "Os"],
  "frac_coords": [[0.181, 0.319, 0.000], [0.319, 0.819, 0.000], [0.681, 0.181, 0.000], [0.819, 0.681, 0.000], [0.000, 0.000, 0.500], [0.500, 0.500, 0.500], [0.129, 0.629, 0.500], [0.371, 0.129, 0.500], [0.629, 0.871, 0.500], [0.871, 0.371, 0.500]],
  "density_g_cm3": 13.66,
  "space_group": "P4/mbm (127)",
  "formation_energy_kj_per_mol_atoms": -23.97
}

=====

# 5
{
  "formula": "Zr3IrOs",
  "functional": "PBE-GGA",
  "state": "optimized geometry",
  "lattice": [[4.960, 0.000, 0.000], [0.000, 4.960, 0.000], [0.000, 0.000, 4.960]],
  "species": ["Zr", "Zr", "Zr", "Ir", "Os"],
  "frac_coords": [[0.000, 0.000, 0.500], [0.000, 0.500, 0.000], [0.500, 0.000, 0.000], [0.500, 0.500, 0.500], [0.000, 0.000, 0.000]],
  "density_g_cm3": 8.93,
  "space_group": "Pm-3m (221)",
  "e_above_lowest_polymorph_ev_per_atom": 0.0000,
  "formation_energy_kj_per_mol_atoms": 61.44
}

=====

# 6
{
  "formula": "ZrIrOs",
  "functional": "PBE-GGA",
  "state": "optimized geometry",
  "lattice": [[-1.420, 1.420, 6.188], [1.420, -1.420, 6.188], [1.420, 1.420, -6.188]],
  "species": ["Zr", "Ir", "Os"],
  "frac_coords": [[0.000, 0.000, 0.000], [0.680, 0.680, 0.000], [0.321, 0.321, 0.000]],
  "density_g_cm3": 15.76,
  "space_group": "I4mm (107)",
  "e_above_lowest_polymorph_ev_per_atom": 0.0899,
  "formation_energy_kj_per_mol_atoms": -18.98
}

=====

# 7
{
  "formula": "ZrIrOs2",
  "functional": "PBE-GGA",
  "state": "optimized geometry",
  "lattice": [[1.400, 0.808, 9.441], [-1.400, 0.808, 9.441], [0.000, -1.616, 9.441]],
  "species": ["Zr", "Ir", "Os", "Os"],
  "frac_coords": [[0.000, 0.000, 0.000], [0.754, 0.754, 0.754], [0.242, 0.242, 0.242], [0.500, 0.500, 0.500]],
  "density_g_cm3": 17.21,
  "space_group": "R3m (160)",
  "e_above_lowest_polymorph_ev_per_atom": 0.3636,
  "formation_energy_kj_per_mol_atoms": 12.34
}

=====

# 8
{
  "formula": "ZrIrOs2",
  "functional": "PBE-GGA",
  "state": "optimized geometry",
  "lattice": [[0.000, 3.193, 3.193], [3.193, 0.000, 3.193], [3.193, 3.193, 0.000]],
  "species": ["Zr", "Ir", "Os", "Os"],
  "frac_coords": [[0.000, 0.000, 0.000], [0.250, 0.250, 0.250], [0.500, 0.500, 0.500], [0.750, 0.750, 0.750]],
  "density_g_cm3": 16.93,
  "space_group": "F-43m (216)",
  "e_above_lowest_polymorph_ev_per_atom": 0.4647,
  "formation_energy_kj_per_mol_atoms": 22.09
}